First-principles (GGA-PBE) data for a relaxed structure of NaLiTl3, as listed in the Alexandria database.

The structure in extended XYZ format:
```
5
Lattice="5.6272 0.0000 0.0000 0.0000 5.6272 0.0000 0.0000 0.0000 5.6272" Properties=species:S:1:pos:R:3 pbc="T T T"
Na 0.0000 0.0000 0.0000
Li 2.8136 2.8136 2.8136
Tl 0.0000 0.0000 2.8136
Tl 0.0000 2.8136 0.0000
Tl 2.8136 0.0000 0.0000
```

Calculated values
Its excess energy over the best structure of this formula in the dataset is 0.398 eV per atom. The total magnetization is 0.0 μB/cell. As for the energy of formation from the pure elements: 1.62 eV/f.u. The density of states at the Fermi level comes out at 2.29 states/eV/f.u.